Material: La2YSe
Method: DFT, GGA-PBE
State: relaxed

Cell lengths 4.816, 4.158, 12.110 Å; angles 90.00, 90.00, 90.00 degrees
Space group Amm2 (No. 38)
Unique sites:
La 0.000 0.000 0.000 x2
La 0.500 0.000 0.301 x2
Y 0.000 0.000 0.718 x2
Se 0.500 0.000 0.572 x2

Total energy in eV/atom: -5.66
Uncorrected formation energy in eV/atom: -0.713

***

Material: YMnTeN2
Method: DFT, GGA-PBE
State: relaxed

Cell lengths 4.380, 4.380, 6.381 Å; angles 90.00, 90.00, 90.00 degrees
Space group P4/mmm (No. 123)
Unique sites:
Y 0.000 0.000 0.000 x1
Mn 0.500 0.500 0.500 x1
Te 0.000 0.000 0.500 x1
N 0.000 0.500 0.000 x2

Total energy in eV/atom: -6.27
Uncorrected formation energy in eV/atom: 0.815
Polymorph energy (0 for the lowest one) in kJ/mol of formula units: 262

***

Material: NaMn2Ni
Method: DFT, GGA-PBE
State: relaxed

Cell lengths 3.495, 3.495, 18.501 Å; angles 90.00, 90.00, 90.00 degrees
Space group I-42d (No. 122)
Unique sites:
Na 0.000 0.000 0.000 x4
Mn 0.171 0.750 0.625 x8
Ni 0.000 0.000 0.500 x4

Total energy in eV/atom: -5.28
Calculated formation energy in eV/f.u.: 4.31
Polymorph energy (0 for the lowest one) in kJ/mol of formula units: 194

***

Material: BP2C
Method: DFT, GGA-PBE
State: relaxed

Cell lengths 5.895, 3.036, 5.265 Å; angles 90.00, 98.11, 90.00 degrees
Space group Cm (No. 8)
Unique sites:
B 0.000 0.000 0.000 x2
P 0.097 0.000 0.362 x2
P 0.154 0.500 0.872 x2
C 0.075 0.500 0.530 x2

Total energy in eV/atom: -6.36
Calculated formation energy in eV/f.u.: 1.26
Polymorph energy (0 for the lowest one) in kJ/mol of formula units: 52

***

Material: Fe3RuW
Method: DFT, GGA-PBE
State: relaxed

Cell lengths 4.400, 4.400, 4.400 Å; angles 90.00, 90.00, 90.00 degrees
Space group Pm-3m (No. 221)
Unique sites:
Fe 0.000 0.000 0.500 x3
Ru 0.000 0.000 0.000 x1
W 0.500 0.500 0.500 x1

Total energy in eV/atom: -7.72
Calculated formation energy in eV/f.u.: 9.04
Polymorph energy (0 for the lowest one) in kJ/mol of formula units: 10

***

Material: Sr8Tl2Ag
Method: DFT, GGA-PBE
State: relaxed

Cell lengths 20.538, 5.793, 7.966 Å; angles 90.00, 107.48, 90.00 degrees
Space group C2/m (No. 12)
Unique sites:
Sr 0.030 0.000 0.290 x4
Sr 0.096 0.500 0.942 x4
Sr 0.163 0.500 0.462 x4
Sr 0.206 0.000 0.809 x4
Tl 0.183 0.000 0.211 x4
Ag 0.000 0.500 0.500 x2

Total energy in eV/atom: -2.13
Calculated formation energy in eV/f.u.: -2.37

***

Material: Re2Ni2H
Method: DFT, GGA-PBE
State: relaxed

Cell lengths 7.241, 7.241, 2.591 Å; angles 90.00, 90.00, 90.00 degrees
Space group P4/mbm (No. 127)
Unique sites:
Re 0.134 0.366 0.000 x4
Ni 0.161 0.661 0.500 x4
H 0.000 0.000 0.000 x2

Total energy in eV/atom: -7.08
Polymorph energy (0 for the lowest one) in kJ/mol of formula units: 0

***

Material: CeNdGa2Pt5
Method: DFT, GGA-PBE
State: relaxed

Cell lengths 4.280, 4.280, 9.317 Å; angles 90.00, 90.00, 90.00 degrees
Space group P4/mmm (No. 123)
Unique sites:
Ce 0.000 0.000 0.000 x1
Nd 0.000 0.000 0.500 x1
Ga 0.500 0.500 0.134 x2
Pt 0.000 0.500 0.272 x4
Pt 0.500 0.500 0.500 x1

Total energy in eV/atom: -6.10
Calculated formation energy in eV/f.u.: -7.94

***

Material: SrNd2H7
Method: DFT, GGA-PBE
State: relaxed

Cell lengths 3.964, 3.964, 16.340 Å; angles 90.00, 90.00, 90.00 degrees
Space group I4/mmm (No. 139)
Unique sites:
Sr 0.000 0.000 0.000 x2
Nd 0.000 0.000 0.338 x4
H 0.000 0.000 0.500 x2
H 0.000 0.500 0.095 x8
H 0.000 0.500 0.250 x4

Total energy in eV/atom: -4.05

***

Material: LuCd2Ga
Method: DFT, GGA-PBE
State: relaxed

Cell lengths 4.294, 4.294, 4.727 Å; angles 90.00, 90.00, 90.00 degrees
Space group P4/mmm (No. 123)
Unique sites:
Lu 0.000 0.000 0.000 x1
Cd 0.000 0.500 0.500 x2
Ga 0.500 0.500 0.000 x1

Total energy in eV/atom: -2.64
Calculated formation energy in eV/f.u.: -1.17
Polymorph energy (0 for the lowest one) in kJ/mol of formula units: 0

***

Material: Ac2MgAs
Method: DFT, GGA-PBE
State: relaxed

Cell lengths 4.1848, 4.1848, 33.3833 Å; angles 90.00, 90.00, 120.00 degrees
Space group R-3m (No. 166, hexagonal axes)
Unique sites:
Ac 0.0000 0.0000 0.1099 x6
Mg 0.0000 0.0000 0.0000 x3
As 0.0000 0.0000 0.5000 x3

Total energy in eV/atom: -3.96
Calculated formation energy in eV/f.u.: -1.39
Polymorph energy (0 for the lowest one) in kJ/mol of formula units: 90

***

Material: YAlHgPb2
Method: DFT, GGA-PBE
State: relaxed

Cell lengths 5.519, 5.519, 5.310 Å; angles 90.00, 90.00, 90.00 degrees
Space group P4/mmm (No. 123)
Unique sites:
Y 0.000 0.000 0.000 x1
Al 0.500 0.500 0.500 x1
Hg 0.500 0.500 0.000 x1
Pb 0.000 0.500 0.500 x2

Total energy in eV/atom: -3.35
Calculated formation energy in eV/f.u.: 1.15

***

> Which formula does entry 11 have?

Ac2MgAs

***

> Which formula does entry 4 have?

BP2C